This record from the Alexandria database describes a relaxed SrTe3Pd crystal. The functional is PBE.

Computed properties:
Magnetization in μB per cell: 0.000
Uncorrected formation energy in eV/f.u.: 3.07
Energy relative to the lowest polymorph listed for this composition in eV per formula unit: 5.83

Cell: 6.074 6.074 6.074 Å, 90.00 90.00 90.00°
Atoms (fractional coordinates):
Sr: 0.000 0.000 0.000
Te: 0.000 0.000 0.500
Te: 0.000 0.500 0.000
Te: 0.500 0.000 0.000
Pd: 0.500 0.500 0.500